First-principles (PBE) data for crystalline PmCo at its relaxed geometry, as listed in the Alexandria database.

The structure in POSCAR format:
```
PmCo
1.0
4.0364 0.0000 0.0000
0.0000 3.9196 0.0000
-2.0182 0.0000 5.4556
Pm Co
2 2
direct
0.1415 0.2500 0.2831
0.8585 0.7500 0.7169
0.4449 0.2500 0.8887
0.5551 0.7500 0.1113
```

## Properties
Crystal system: monoclinic
Space-group type: P2_1/m, No. 11
Energy of formation from the pure elements (meV/atom): -91.0

First-principles (PBE) data for crystalline BaTa2Pt at its relaxed geometry, as listed in the Alexandria database.

The structure in POSCAR format:
```
BaTa2Pt
1.0
4.1541 0.0000 0.0000
0.0000 4.1541 0.0000
0.0000 0.0000 5.1984
Ba Ta Pt
1 2 1
direct
0.0000 0.0000 0.0000
0.0000 0.5000 0.5000
0.5000 0.0000 0.5000
0.5000 0.5000 0.0000
```

## Properties
Energy above the lowest structure with this stoichiometry (meV per atom): 692
Crystal system: tetragonal
Space-group type: P4/mmm, No. 123
Energy of formation from the pure elements (meV/atom): 823.9

First-principles (PBE) data for crystalline Ba2Ca2Ac at its relaxed geometry, as listed in the Alexandria database.

The structure in POSCAR format:
```
Ba2Ca2Ac
1.0
2.0509 1.1841 17.0025
-2.0509 1.1841 17.0025
0.0000 -2.3682 17.0025
Ba Ca Ac
2 2 1
direct
0.2036 0.2036 0.2036
0.7964 0.7964 0.7964
0.3960 0.3960 0.3960
0.6040 0.6040 0.6040
0.0000 0.0000 0.0000
```

## Properties
Crystal system: trigonal
Space-group type: R-3m, No. 166
Energy of formation from the pure elements (meV/atom): 63.8

What did the second record say?
First-principles (PBE) data for crystalline BaTa2Pt at its relaxed geometry, as listed in the Alexandria database.

The structure in POSCAR format:
```
BaTa2Pt
1.0
4.1541 0.0000 0.0000
0.0000 4.1541 0.0000
0.0000 0.0000 5.1984
Ba Ta Pt
1 2 1
direct
0.0000 0.0000 0.0000
0.0000 0.5000 0.5000
0.5000 0.0000 0.5000
0.5000 0.5000 0.0000
```

## Properties
Energy above the lowest structure with this stoichiometry (meV per atom): 692
Crystal system: tetragonal
Space-group type: P4/mmm, No. 123
Energy of formation from the pure elements (meV/atom): 823.9

Look up the energy of formation from the pure elements of the third one. 63.8 meV/atom